(a)
Computed, not measured: a geometry-optimized NaPt4 structure at the PBE level of DFT.

Computed properties:
Crystal system   cubic
Volume   92.8 Å³ per cell

a b c (Å): 4.5271 4.5271 4.5271
angles (deg): 90.00 90.00 90.00
Closest atoms and distances in Å follow each position.
Fractional positions:
Na1 0.0000 0.0000 0.0000  6 Pt 2.26
Pt1 0.0000 0.0000 0.5000  2 Na 2.26
Pt2 0.0000 0.5000 0.0000  2 Na 2.26
Pt3 0.5000 0.0000 0.0000  2 Na 2.26
Pt4 0.5000 0.5000 0.5000  12 Pt 3.20

***

(b)
Computed, not measured: a geometry-optimized NaPt4 structure at the PBE level of DFT.

Computed properties:
Crystal system   tetragonal
Volume   79.4 Å³ per cell

a b c (Å): 4.8865 4.8865 4.8865
angles (deg): 99.62 99.62 131.75
Closest atoms and distances in Å follow each position.
Fractional positions:
Na1 0.0000 0.0000 0.0000  12 Pt 2.78-2.85
Pt1 0.1957 0.6046 0.8002  3 Na 2.78-2.85, 9 Pt 2.80-2.87
Pt2 0.3954 0.1957 0.5911  3 Na 2.78-2.85, 9 Pt 2.80-2.87
Pt3 0.6046 0.8043 0.4089  3 Na 2.78-2.85, 9 Pt 2.80-2.87
Pt4 0.8043 0.3954 0.1998  3 Na 2.78-2.85, 9 Pt 2.80-2.87

***

(c)
Computed, not measured: a geometry-optimized NaPt4 structure at the PBE level of DFT.

Computed properties:
Crystal system   tetragonal
Volume   102.0 Å³ per cell

a b c (Å): 5.7543 5.7543 5.7543
angles (deg): 132.37 132.37 69.64
Closest atoms and distances in Å follow each position.
Fractional positions:
Na1 0.0000 0.0000 0.0000  18 Pt 3.31-3.51
Pt1 0.2500 0.7500 0.5000  4 Pt 2.58
Pt2 0.3696 0.3696 0.0000  5 Pt 2.46-2.58
Pt3 0.6304 0.6304 0.0000  5 Pt 2.46-2.58
Pt4 0.7500 0.2500 0.5000  4 Pt 2.58

***

(b) comes first in stability; the runner-up is 18.4 kJ/mol of atoms higher.

***

(a)
Computed, not measured: a geometry-optimized Na4Pt structure at the PBE level of DFT.

Computed properties:
Crystal system   tetragonal
Volume   119.8 Å³ per cell

a b c (Å): 5.5459 5.5459 5.5459
angles (deg): 100.72 100.72 128.89
Closest atoms and distances in Å follow each position.
Fractional positions:
Na1 0.1169 0.7189 0.8358  4 Na 3.05-3.08, 3 Pt 3.12-3.22
Na2 0.2811 0.1169 0.3980  4 Na 3.05-3.08, 3 Pt 3.12-3.22
Na3 0.7189 0.8831 0.6020  4 Na 3.05-3.08, 3 Pt 3.12-3.22
Na4 0.8831 0.2811 0.1642  4 Na 3.05-3.08, 3 Pt 3.12-3.22
Pt1 0.5000 0.5000 0.0000  12 Na 3.12-3.22

***

(b)
Computed, not measured: a geometry-optimized Na4Pt structure at the PBE level of DFT.

Computed properties:
Crystal system   orthorhombic
Volume   295.4 Å³ per cell

a b c (Å): 8.5389 8.5389 8.5389
angles (deg): 127.37 66.24 142.74
Closest atoms and distances in Å follow each position.
Fractional positions:
Na1 0.0750 0.6837 0.7587  2 Pt 2.96
Na2 0.1703 0.1345 0.3048  2 Pt 2.97
Na3 0.3297 0.6345 0.9643  2 Pt 2.97
Na4 0.4250 0.1837 0.6087  2 Pt 2.96
Na5 0.5750 0.8163 0.3913  2 Pt 2.96
Na6 0.6703 0.3655 0.0357  2 Pt 2.97
Na7 0.8297 0.8655 0.6952  2 Pt 2.97
Na8 0.9250 0.3163 0.2413  2 Pt 2.96
Pt1 0.2500 0.2500 0.0000  2 Pt 2.73, 8 Na 2.96-2.97
Pt2 0.7500 0.7500 0.0000  2 Pt 2.73, 8 Na 2.96-2.97

***

(c)
Computed, not measured: a geometry-optimized Na4Pt structure at the PBE level of DFT.

Computed properties:
Crystal system   tetragonal
Volume   130.2 Å³ per cell

a b c (Å): 5.7004 5.7004 5.7004
angles (deg): 120.37 120.37 89.36
Closest atoms and distances in Å follow each position.
Fractional positions:
Na1 0.1621 0.1621 0.0000  5 Na 2.63-2.92, 1 Pt 2.74
Na2 0.2500 0.7500 0.5000  4 Na 2.92
Na3 0.7500 0.2500 0.5000  4 Na 2.92
Na4 0.8379 0.8379 0.0000  5 Na 2.63-2.92, 1 Pt 2.74
Pt1 0.5000 0.5000 0.0000  2 Na 2.74

***

(d)
Computed, not measured: a geometry-optimized Na4Pt structure at the PBE level of DFT.

Computed properties:
Crystal system   cubic
Volume   170.6 Å³ per cell

a b c (Å): 5.5465 5.5465 5.5465
angles (deg): 90.00 90.00 90.00
Closest atoms and distances in Å follow each position.
Fractional positions:
Na1 0.0000 0.0000 0.0000  12 Na 3.92
Na2 0.0000 0.5000 0.5000  2 Pt 2.77
Na3 0.5000 0.0000 0.5000  2 Pt 2.77
Na4 0.5000 0.5000 0.0000  2 Pt 2.77
Pt1 0.5000 0.5000 0.5000  6 Na 2.77

***

(b) comes first in stability; the runner-up is 5.5 kJ/mol of atoms higher.

***

(a)
Computed, not measured: a geometry-optimized Na3Pt4 structure at the PBE level of DFT.

Computed properties:
Crystal system   tetragonal
Volume   159.9 Å³ per cell

a b c (Å): 13.3024 13.3024 13.3024
angles (deg): 164.89 164.89 21.43
Closest atoms and distances in Å follow each position.
Fractional positions:
Na1 0.0000 0.0000 0.0000  10 Pt 2.96-3.29
Na2 0.3097 0.3097 0.0000  1 Pt 2.80
Na3 0.6903 0.6903 0.0000  1 Pt 2.80
Pt1 0.1134 0.1134 0.0000  4 Pt 2.60
Pt2 0.4167 0.4167 0.0000  4 Pt 2.60, 1 Na 2.80
Pt3 0.5833 0.5833 0.0000  4 Pt 2.60, 1 Na 2.80
Pt4 0.8866 0.8866 0.0000  4 Pt 2.60

***

(b)
Computed, not measured: a geometry-optimized Na3Pt4 structure at the PBE level of DFT.

Computed properties:
Crystal system   hexagonal
Volume   114.9 Å³ per cell

a b c (Å): 4.9190 4.9190 5.4832
angles (deg): 90.00 90.00 120.00
Closest atoms and distances in Å follow each position.
Fractional positions:
Na1 0.0000 0.5000 0.0000  4 Na 2.46
Na2 0.5000 0.0000 0.0000  4 Na 2.46
Na3 0.5000 0.5000 0.0000  4 Na 2.46
Pt1 0.0000 0.0000 0.2700  1 Pt 2.52
Pt2 0.0000 0.0000 0.7300  1 Pt 2.52
Pt3 0.3333 0.6667 0.5000  9 Pt 2.84-3.11, 6 Na 3.09
Pt4 0.6667 0.3333 0.5000  9 Pt 2.84-3.11, 6 Na 3.09

***

(a) comes first in stability; the runner-up is 20.6 kJ/mol of atoms higher.

***

(a)
Computed, not measured: a geometry-optimized Na3Pt2 structure at the PBE level of DFT.

Computed properties:
Crystal system   trigonal
Volume   94.0 Å³ per cell

a b c (Å): 12.9884 12.9884 12.9884
angles (deg): 12.83 12.83 12.83
Closest atoms and distances in Å follow each position.
Fractional positions:
Na1 0.0000 0.0000 0.0000  6 Na 2.90, 6 Pt 2.95
Na2 0.2083 0.2083 0.2083  6 Na 2.90, 3 Pt 2.93
Na3 0.7917 0.7917 0.7917  6 Na 2.90, 3 Pt 2.93
Pt1 0.3961 0.3961 0.3961  6 Pt 2.90, 6 Na 2.93-2.95
Pt2 0.6039 0.6039 0.6039  6 Pt 2.90, 6 Na 2.93-2.95

***

(b)
Computed, not measured: a geometry-optimized Na3Pt2 structure at the PBE level of DFT.

Computed properties:
Crystal system   trigonal
Volume   113.5 Å³ per cell

a b c (Å): 4.8201 4.8201 5.6422
angles (deg): 90.00 90.00 120.00
Closest atoms and distances in Å follow each position.
Fractional positions:
Na1 0.0000 0.0000 0.0000  6 Pt 2.80
Na2 0.3333 0.6667 0.4226  2 Pt 2.68-2.96, 3 Na 2.92
Na3 0.6667 0.3333 0.5774  2 Pt 2.68-2.96, 3 Na 2.92
Pt1 0.3333 0.6667 0.9471  5 Na 2.68-2.96, 3 Pt 2.85
Pt2 0.6667 0.3333 0.0529  5 Na 2.68-2.96, 3 Pt 2.85

***

(a) comes first in stability; the runner-up is 10.6 kJ/mol of atoms higher.

***

(a)
Computed, not measured: a geometry-optimized Na4Pt5 structure at the PBE level of DFT.

Computed properties:
Crystal system   hexagonal
Volume   311.9 Å³ per cell

a b c (Å): 8.0337 8.0337 5.5808
angles (deg): 90.00 90.00 120.00
Closest atoms and distances in Å follow each position.
Fractional positions:
Na1 0.0000 0.0000 0.0000  8 Na 2.78-2.79
Na2 0.0000 0.0000 0.5000  8 Na 2.78-2.79
Na3 0.0000 0.2995 0.2500  3 Pt 2.55-2.81, 2 Na 2.78
Na4 0.0000 0.7005 0.7500  3 Pt 2.55-2.81, 2 Na 2.78
Na5 0.2995 0.0000 0.2500  3 Pt 2.55-2.81, 2 Na 2.78
Na6 0.2995 0.2995 0.7500  3 Pt 2.55-2.81, 2 Na 2.78
Na7 0.7005 0.0000 0.7500  3 Pt 2.55-2.81, 2 Na 2.78
Na8 0.7005 0.7005 0.2500  3 Pt 2.55-2.81, 2 Na 2.78
Pt1 0.0000 0.3836 0.7500  3 Na 2.55-2.81
Pt2 0.0000 0.6164 0.2500  3 Na 2.55-2.81
Pt3 0.3333 0.6667 0.0000  8 Pt 2.79-2.86
Pt4 0.3333 0.6667 0.5000  8 Pt 2.79-2.86
Pt5 0.3836 0.0000 0.7500  3 Na 2.55-2.81
Pt6 0.3836 0.3836 0.2500  3 Na 2.55-2.81
Pt7 0.6164 0.0000 0.2500  3 Na 2.55-2.81
Pt8 0.6164 0.6164 0.7500  3 Na 2.55-2.81
Pt9 0.6667 0.3333 0.0000  8 Pt 2.79-2.86
Pt10 0.6667 0.3333 0.5000  8 Pt 2.79-2.86

***

(b)
Computed, not measured: a geometry-optimized Na4Pt5 structure at the PBE level of DFT.

Computed properties:
Crystal system   tetragonal
Volume   156.6 Å³ per cell

a b c (Å): 6.6229 6.6229 6.6229
angles (deg): 95.00 95.00 145.65
Closest atoms and distances in Å follow each position.
Fractional positions:
Na1 0.0000 0.3170 0.3170  7 Pt 2.80-3.00, 4 Na 3.03
Na2 0.0000 0.6830 0.6830  7 Pt 2.80-3.00, 4 Na 3.03
Na3 0.3170 0.0000 0.3170  7 Pt 2.80-3.00, 4 Na 3.03
Na4 0.6830 0.0000 0.6830  7 Pt 2.80-3.00, 4 Na 3.03
Pt1 0.0000 0.0000 0.0000  4 Na 2.84, 8 Pt 2.87
Pt2 0.3346 0.3346 0.6691  6 Na 2.80-3.00, 6 Pt 2.87-2.96
Pt3 0.3346 0.6654 0.0000  6 Na 2.80-3.00, 6 Pt 2.87-2.96
Pt4 0.6654 0.3346 0.0000  6 Na 2.80-3.00, 6 Pt 2.87-2.96
Pt5 0.6654 0.6654 0.3309  6 Na 2.80-3.00, 6 Pt 2.87-2.96

***

(b) comes first in stability; the runner-up is 9.0 kJ/mol of atoms higher.

***

(a)
Computed, not measured: a geometry-optimized NaPu2Pt structure at the PBE level of DFT.

Computed properties:
Crystal system   tetragonal
Volume   111.3 Å³ per cell

a b c (Å): 3.4542 3.4542 9.3281
angles (deg): 90.00 90.00 90.00
Closest atoms and distances in Å follow each position.
Fractional positions:
Na1 0.0000 0.0000 0.0000  4 Na 3.45, 8 Pu 3.84
Pu1 0.5000 0.5000 0.3171  4 Pt 2.98
Pu2 0.5000 0.5000 0.6829  4 Pt 2.98
Pt1 0.0000 0.0000 0.5000  8 Pu 2.98

***

(b)
Computed, not measured: a geometry-optimized NaPu2Pt structure at the PBE level of DFT.

Computed properties:
Crystal system   trigonal
Volume   130.1 Å³ per cell

a b c (Å): 11.0395 11.0395 11.0395
angles (deg): 19.43 19.43 19.43
Closest atoms and distances in Å follow each position.
Fractional positions:
Na1 0.0000 0.0000 0.0000  2 Pu 3.56, 6 Na 3.72
Pu1 0.1097 0.1097 0.1097  3 Pt 2.84
Pu2 0.8903 0.8903 0.8903  3 Pt 2.84
Pt1 0.5000 0.5000 0.5000  6 Pu 2.84

***

(a) comes first in stability; the runner-up is 12.7 kJ/mol of atoms higher.

***

(a)
Computed, not measured: a geometry-optimized RbNa2Pt structure at the PBE level of DFT.

Computed properties:
Crystal system   trigonal
Volume   178.5 Å³ per cell

a b c (Å): 9.8061 9.8061 9.8061
angles (deg): 27.58 27.58 27.58
Closest atoms and distances in Å follow each position.
Fractional positions:
Rb1 0.0000 0.0000 0.0000  2 Na 3.76
Na1 0.1331 0.1331 0.1331  3 Pt 2.86
Na2 0.8669 0.8669 0.8669  3 Pt 2.86
Pt1 0.5000 0.5000 0.5000  6 Na 2.86

***

(b)
Computed, not measured: a geometry-optimized RbNa2Pt structure at the PBE level of DFT.

Computed properties:
Crystal system   cubic
Volume   107.6 Å³ per cell

a b c (Å): 5.3387 5.3387 5.3387
angles (deg): 60.00 60.00 60.00
Closest atoms and distances in Å follow each position.
Fractional positions:
Rb1 0.0000 0.0000 0.0000  8 Na 3.27
Na1 0.2500 0.2500 0.2500  4 Rb 3.27, 4 Pt 3.27
Na2 0.7500 0.7500 0.7500  4 Rb 3.27, 4 Pt 3.27
Pt1 0.5000 0.5000 0.5000  8 Na 3.27

***

(b) comes first in stability; the runner-up is 11.4 kJ/mol of atoms higher.

***

(a)
Computed, not measured: a geometry-optimized RbNaPt structure at the PBE level of DFT.

Computed properties:
Crystal system   orthorhombic
Volume   352.1 Å³ per cell

a b c (Å): 12.8962 12.3309 5.7215
angles (deg): 82.48 71.43 26.09
Closest atoms and distances in Å follow each position.
Fractional positions:
Rb1 0.0490 0.7010 0.0490  3 Rb 3.37-3.38, 4 Pt 3.39-3.47
Rb2 0.2990 0.9510 0.2990  3 Rb 3.37-3.38, 4 Pt 3.39-3.47
Rb3 0.7010 0.0490 0.7010  3 Rb 3.37-3.38, 4 Pt 3.39-3.47
Rb4 0.9510 0.2990 0.9510  3 Rb 3.37-3.38, 4 Pt 3.39-3.47
Na1 0.2758 0.2758 0.4742  4 Pt 2.94-3.09, 2 Na 3.11
Na2 0.4742 0.4742 0.2758  4 Pt 2.94-3.09, 2 Na 3.11
Na3 0.5258 0.5258 0.7242  4 Pt 2.94-3.09, 2 Na 3.11
Na4 0.7242 0.7242 0.5258  4 Pt 2.94-3.09, 2 Na 3.11
Pt1 0.0019 0.0019 0.2481  2 Pt 2.86, 4 Na 2.94-3.09
Pt2 0.2481 0.2481 0.0019  2 Pt 2.86, 4 Na 2.94-3.09
Pt3 0.7519 0.7519 0.9981  2 Pt 2.86, 4 Na 2.94-3.09
Pt4 0.9981 0.9981 0.7519  2 Pt 2.86, 4 Na 2.94-3.09

***

(b)
Computed, not measured: a geometry-optimized RbNaPt structure at the PBE level of DFT.

Computed properties:
Crystal system   trigonal
Volume   98.9 Å³ per cell

a b c (Å): 4.8706 4.8706 4.8118
angles (deg): 90.00 90.00 120.00
Closest atoms and distances in Å follow each position.
Fractional positions:
Rb1 0.0000 0.0000 0.0000  6 Pt 3.69-3.71, 6 Na 3.70
Na1 0.6667 0.3333 0.4994  3 Pt 2.81
Pt1 0.3333 0.6667 0.5027  3 Na 2.81

***

(a) comes first in stability; the runner-up is 10.0 kJ/mol of atoms higher.